Density functional theory data (GGA+U) for a relaxed Sc2MnBiO6 crystal.

a = 5.435 Å, b = 5.487 Å, c = 5.757 Å
α = 61.69°, β = 89.36°, γ = 61.82°
Positions (direct):
Sc1 0.000 0.000 0.000
Sc2 0.490 0.016 0.469
Mn1 0.796 0.410 0.379
Bi1 0.273 0.456 0.823
O1 0.072 0.531 0.186
O2 0.213 0.950 0.696
O3 0.367 0.930 0.183
O4 0.639 0.182 0.660
O5 0.710 0.224 0.183
O6 0.839 0.535 0.647

The space-group type is P1. The value obtained for the total energy is -7.767 eV/atom.